# Ca2CoBr2O2 PBE with a Hubbard U optimized geometry
# E = -36.204 eV per cell
# SG = I4/mmm
data_Ca2CoBr2O2
_cell_length_a 3.9799
_cell_length_b 3.9799
_cell_length_c 9.4329
_cell_angle_alpha 102.18
_cell_angle_beta 102.18
_cell_angle_gamma 90.00
_symmetry_space_group_name_H-M 'P 1'
_symmetry_Int_Tables_number 1
loop_
_symmetry_equiv_pos_as_xyz
'x,y,z'
loop_
_atom_site_label
_atom_site_fract_x
_atom_site_fract_y
_atom_site_fract_z
_atom_site_occupancy
Ca1 0.4156 0.4156 0.8312 1
Ca2 0.5844 0.5844 0.1688 1
Co1 0.0000 0.0000 0.0000 1
Br1 0.1607 0.1607 0.3214 1
Br2 0.8393 0.8393 0.6786 1
O1 0.0000 0.5000 0.0000 1
O2 0.5000 0.0000 0.0000 1